Here is an optimized crystal structure of TaMo from Alexandria via LeMat-Bulk. Energies are from PBEsol.

Summary:
E_form	-0.3	eV per formula unit

Lattice parameters (Å, degrees): 3.1820 3.1820 9.6690 90.00 90.00 90.00
Element x y z (fractional)
Ta: 0.5000 0.5000 0.8397
Ta: 0.0000 0.0000 0.6602
Ta: 0.0000 0.0000 0.3332
Mo: 0.0000 0.0000 0.0070
Mo: 0.5000 0.5000 0.1622
Mo: 0.5000 0.5000 0.4976

Here is an optimized crystal structure of Al4SiRh from Alexandria via LeMat-Bulk. Energies are from PBEsol.

Summary:
E_form (uncorrected)	0.1848	eV per atom

Lattice parameters (Å, degrees): 5.0726 5.0726 5.0726 60.00 60.00 60.00
Element x y z (fractional)
Al: 0.3748 0.3748 0.8757
Al: 0.3748 0.3748 0.3748
Al: 0.3748 0.8757 0.3748
Al: 0.8757 0.3748 0.3748
Rh: 0.7500 0.7500 0.7500
Si: 0.0000 0.0000 0.0000

Here is an optimized crystal structure of WSe2N from Alexandria via LeMat-Bulk. Energies are from PBEsol.

Summary:
E_form (uncorrected)	1.1051	eV per atom

Lattice parameters (Å, degrees): 5.3629 5.3629 6.2920 115.22 115.22 90.00
Element x y z (fractional)
Se: 0.1250 0.1623 0.7500
Se: 0.4123 0.8750 0.2500
Se: 0.6250 0.5877 0.7500
Se: 0.8377 0.3750 0.2500
W: 0.2500 0.7500 0.5000
W: 0.0000 0.0000 0.0000
N: 0.7500 0.2500 0.5000
N: 0.5000 0.5000 0.0000

Here is an optimized crystal structure of ScCr2In from Alexandria via LeMat-Bulk. Energies are from PBEsol.

Summary:
E_form	0.7	eV per formula unit

Lattice parameters (Å, degrees): 4.5796 4.5796 4.5796 60.00 60.00 60.00
Last column: magnetic moment on the atom in μB.
Element x y z (fractional)
In: 0.5000 0.5000 0.5000  0.02
Cr: 0.2500 0.2500 0.2500  3.04
Cr: 0.0000 0.0000 0.0000  -2.86
Sc: 0.7500 0.7500 0.7500  -0.20

Here is an optimized crystal structure of Cs2UBr4O2 from Alexandria via LeMat-Bulk. Energies are from PBEsol.

Summary:
E_form (uncorrected)	-2.0324	eV per atom

Lattice parameters (Å, degrees): 6.4293 9.8106 9.8233 90.00 105.41 90.00
Element x y z (fractional)
O: 0.2165 0.4009 0.4645
O: 0.7835 0.9009 0.0355
O: 0.2165 0.0991 0.9645
O: 0.7835 0.5991 0.5355
Cs: 0.6792 0.8741 0.3329
Cs: 0.3208 0.3741 0.1671
Cs: 0.3208 0.1259 0.6671
Cs: 0.6792 0.6259 0.8329
U: 0.0000 0.0000 0.0000
U: 0.0000 0.5000 0.5000
Br: 0.7545 0.2623 0.4744
Br: 0.7545 0.2377 0.9744
Br: 0.8359 0.9479 0.7116
Br: 0.8359 0.5521 0.2116
Br: 0.1641 0.0521 0.2884
Br: 0.1641 0.4479 0.7884
Br: 0.2455 0.7623 0.0256
Br: 0.2455 0.7377 0.5256

Here is an optimized crystal structure of ScGaSi2Ru from Alexandria via LeMat-Bulk. Energies are from PBEsol.

Summary:
E_form (uncorrected)	1.5075	eV per atom

Lattice parameters (Å, degrees): 4.7242 4.7242 4.7825 90.00 90.00 90.00
Last column: magnetic moment on the atom in μB.
Element x y z (fractional)
Si: 0.0000 0.5000 0.0000  -0.01
Si: 0.5000 0.0000 0.0000  -0.01
Ru: 0.5000 0.5000 0.5000  1.68
Ga: 0.0000 0.0000 0.5000  -0.05
Sc: 0.0000 0.0000 0.0000  -0.11

Here is an optimized crystal structure of ScTc2Ir from Alexandria via LeMat-Bulk. Energies are from PBEsol.

Summary:
E_form	-0.4	eV per formula unit
energy relative to the lowest polymorph listed for this composition	62.7	meV/atom

Lattice parameters (Å, degrees): 3.0223 4.5192 5.1748 115.89 106.98 90.00
Element x y z (fractional)
Tc: 0.7417 0.2417 0.4834
Tc: 0.0097 0.0097 0.0195
Ir: 0.4945 0.4945 0.9889
Sc: 0.2541 0.7541 0.5082

Here is an optimized crystal structure of ZnCd from Alexandria via LeMat-Bulk. Energies are from PBEsol.

Summary:
E_form	0.4	eV per formula unit

Lattice parameters (Å, degrees): 3.9534 3.9534 5.9372 90.00 90.00 120.00
Element x y z (fractional)
Cd: 0.0000 0.0000 0.0000
Cd: 0.0000 0.0000 0.5000
Zn: 0.6667 0.3333 0.7500
Zn: 0.3333 0.6667 0.2500

Here is an optimized crystal structure of Re2Sb from Alexandria via LeMat-Bulk. Energies are from PBEsol.

Summary:
energy relative to the lowest polymorph listed for this composition	52.2	meV/atom
E_form (uncorrected)	0.3903	eV per atom

Lattice parameters (Å, degrees): 3.0408 5.0945 7.0645 105.67 90.00 107.36
Element x y z (fractional)
Re: 0.1514 0.3029 0.5312
Re: 0.8486 0.6971 0.4688
Re: 0.7828 0.5656 0.8493
Re: 0.2172 0.4344 0.1507
Sb: 0.4972 0.9945 0.2185
Sb: 0.5028 0.0055 0.7815

Here is an optimized crystal structure of LiHgAu2 from Alexandria via LeMat-Bulk. Energies are from PBEsol.

Summary:
E_form	-1.2	eV per formula unit

Lattice parameters (Å, degrees): 4.0184 4.0184 4.1970 90.00 90.00 90.00
Element x y z (fractional)
Au: 0.0000 0.5000 0.0000
Au: 0.5000 0.0000 0.0000
Hg: 0.5000 0.5000 0.5000
Li: 0.0000 0.0000 0.5000

Here is an optimized crystal structure of LaTlPb from Alexandria via LeMat-Bulk. Energies are from PBEsol.

Summary:
E_form	-1.4	eV per formula unit

Lattice parameters (Å, degrees): 4.4632 4.8431 4.8431 120.00 90.00 90.00
Element x y z (fractional)
Tl: 0.3600 0.6667 0.3333
La: 0.0138 0.0000 0.0000
Pb: 0.6261 0.3333 0.6667

Here is an optimized crystal structure of Li2CrS4 from Alexandria via LeMat-Bulk. Energies are from PBEsol.

Summary:
E_form (uncorrected)	-0.7922	eV per atom

Lattice parameters (Å, degrees): 3.3416 5.8000 6.7466 115.04 104.34 90.00
Last column: magnetic moment on the atom in μB.
Element x y z (fractional)
S: 0.6348 0.5631 0.2696  -0.03
S: 0.3652 0.4369 0.7304  -0.03
S: 0.0635 0.9457 0.1270  -0.06
S: 0.9365 0.0543 0.8730  -0.06
Cr: 0.0000 0.5000 0.0000  2.42
Li: 0.7084 0.2355 0.4168  0.00
Li: 0.2916 0.7645 0.5832  0.00

Here is an optimized crystal structure of Cs3KS from Alexandria via LeMat-Bulk. Energies are from PBEsol.

Summary:
E_form (uncorrected)	-0.5341	eV per atom

Lattice parameters (Å, degrees): 6.8448 6.8448 6.8448 90.00 90.00 90.00
Element x y z (fractional)
K: 0.5000 0.5000 0.5000
Cs: 0.5000 0.0000 0.0000
Cs: 0.0000 0.0000 0.5000
Cs: 0.0000 0.5000 0.0000
S: 0.0000 0.0000 0.0000

Here is an optimized crystal structure of InF3 from Alexandria via LeMat-Bulk. Energies are from PBEsol.

Summary:
E_form (uncorrected)	-2.5135	eV per atom

Lattice parameters (Å, degrees): 5.3080 5.3080 5.7648 62.59 62.59 60.00
Element x y z (fractional)
F: 0.8832 0.6168 0.2500
F: 0.7500 0.1168 0.7500
F: 0.3832 0.7500 0.7500
F: 0.2500 0.8832 0.2500
F: 0.6168 0.2500 0.2500
F: 0.1168 0.3832 0.7500
In: 0.5000 0.5000 0.5000
In: 0.0000 0.0000 0.0000

Here is an optimized crystal structure of H2S from Alexandria via LeMat-Bulk. Energies are from PBEsol.

Summary:
energy relative to the lowest polymorph listed for this composition	0.0	meV/atom

Lattice parameters (Å, degrees): 3.9737 6.2244 12.3202 90.00 90.00 90.00
Element x y z (fractional)
S: 0.4776 0.7500 0.8945
S: 0.5224 0.7500 0.3945
S: 0.9724 0.7500 0.6418
S: 0.4776 0.2500 0.6055
S: 0.9724 0.2500 0.8582
S: 0.5224 0.2500 0.1055
S: 0.0276 0.7500 0.1418
S: 0.0276 0.2500 0.3582
H: 0.2949 0.5883 0.3738
H: 0.2000 0.7500 0.7264
H: 0.2949 0.0883 0.1262
H: 0.8000 0.7500 0.2264
H: 0.7051 0.0883 0.6262
H: 0.2000 0.2500 0.7736
H: 0.7051 0.5883 0.8738
H: 0.7846 0.2500 0.4377
H: 0.7051 0.9117 0.8738
H: 0.7051 0.4117 0.6262
H: 0.2154 0.2500 0.9377
H: 0.2949 0.9117 0.3738
H: 0.2949 0.4117 0.1262
H: 0.8000 0.2500 0.2736
H: 0.2154 0.7500 0.5623
H: 0.7846 0.7500 0.0623

Here is an optimized crystal structure of ReRh from Alexandria via LeMat-Bulk. Energies are from PBEsol.

Summary:
E_form	-0.4	eV per formula unit
energy relative to the lowest polymorph listed for this composition	0.0	meV/atom

Lattice parameters (Å, degrees): 2.6853 4.3285 4.7719 90.00 90.00 90.00
Element x y z (fractional)
Rh: 0.5000 0.7500 0.1635
Rh: 0.5000 0.2500 0.8365
Re: 0.0000 0.2500 0.3372
Re: 0.0000 0.7500 0.6628

Here is an optimized crystal structure of CsZrCd2Cl from Alexandria via LeMat-Bulk. Energies are from PBEsol.

Summary:
E_form (uncorrected)	1.3669	eV per atom

Lattice parameters (Å, degrees): 6.2598 6.5095 6.5095 90.00 90.00 90.00
Last column: magnetic moment on the atom in μB.
Element x y z (fractional)
Zr: 0.5000 0.0000 0.0000  1.95
Cl: 0.5000 0.5000 0.5000  0.01
Cs: 0.0000 0.0000 0.0000  0.13
Cd: 0.0000 0.0000 0.5000  0.01
Cd: 0.0000 0.5000 0.0000  0.01

Here is an optimized crystal structure of HfZrHg2 from Alexandria via LeMat-Bulk. Energies are from PBEsol.

Summary:
E_form	-0.8	eV per formula unit

Lattice parameters (Å, degrees): 4.8768 4.8768 4.8768 60.00 60.00 60.00
Element x y z (fractional)
Hf: 0.5000 0.5000 0.5000
Hg: 0.2500 0.2500 0.2500
Hg: 0.7500 0.7500 0.7500
Zr: 0.0000 0.0000 0.0000

Here is an optimized crystal structure of TlHg2Br2 from Alexandria via LeMat-Bulk. Energies are from PBEsol.

Summary:
E_form (uncorrected)	-0.3472	eV per atom

Lattice parameters (Å, degrees): 3.9885 3.9885 9.4559 102.18 102.18 90.00
Element x y z (fractional)
Br: 0.3990 0.3990 0.7979
Br: 0.6010 0.6010 0.2021
Tl: 0.0000 0.0000 0.0000
Hg: 0.2500 0.7500 0.5000
Hg: 0.7500 0.2500 0.5000

Here is an optimized crystal structure of ZnAs2Pb from Alexandria via LeMat-Bulk. Energies are from PBEsol.

Summary:
E_form	0.4	eV per formula unit

Lattice parameters (Å, degrees): 3.8554 4.1932 5.7400 110.40 90.00 90.00
Element x y z (fractional)
As: 0.0000 0.7392 0.8115
As: 0.0000 0.2608 0.1885
Zn: 0.5000 0.5000 0.0000
Pb: 0.5000 0.0000 0.5000

Here is an optimized crystal structure of KCuSe from Alexandria via LeMat-Bulk. Energies are from PBEsol.

Summary:
E_form (uncorrected)	-0.6613	eV per atom

Lattice parameters (Å, degrees): 4.1162 4.1162 9.6103 90.00 90.00 120.00
Element x y z (fractional)
K: 0.0000 0.0000 0.0000
K: 0.0000 0.0000 0.5000
Cu: 0.3333 0.6667 0.7500
Cu: 0.6667 0.3333 0.2500
Se: 0.3333 0.6667 0.2500
Se: 0.6667 0.3333 0.7500

Here is an optimized crystal structure of In3CSe from Alexandria via LeMat-Bulk. Energies are from PBEsol.

Summary:
E_form (uncorrected)	1.6976	eV per atom

Lattice parameters (Å, degrees): 5.4153 5.4153 5.4153 90.00 90.00 90.00
Last column: magnetic moment on the atom in μB.
Element x y z (fractional)
In: 0.0000 0.5000 0.0000  -0.01
In: 0.5000 0.0000 0.0000  -0.01
In: 0.0000 0.0000 0.5000  -0.01
C: 0.5000 0.5000 0.5000  0.86
Se: 0.0000 0.0000 0.0000  -0.04

Here is an optimized crystal structure of CrCo4Cu from Alexandria via LeMat-Bulk. Energies are from PBEsol.

Summary:
E_form	1.6	eV per formula unit

Lattice parameters (Å, degrees): 4.5476 4.5476 4.5476 60.00 60.00 60.00
Last column: magnetic moment on the atom in μB.
Element x y z (fractional)
Cu: 0.0000 0.0000 0.0000  0.01
Cr: 0.2500 0.2500 0.2500  -2.21
Co: 0.6253 0.1242 0.6253  1.16
Co: 0.1242 0.6253 0.6253  1.16
Co: 0.6253 0.6253 0.1242  1.16
Co: 0.6253 0.6253 0.6253  1.16

Here is an optimized crystal structure of Y2SnB from Alexandria via LeMat-Bulk. Energies are from PBEsol.

Summary:
E_form	0.1	eV per formula unit

Lattice parameters (Å, degrees): 4.9709 4.9709 4.9709 60.00 60.00 60.00
Element x y z (fractional)
Y: 0.7500 0.7500 0.7500
Y: 0.2500 0.2500 0.2500
B: 0.0000 0.0000 0.0000
Sn: 0.5000 0.5000 0.5000

Here is an optimized crystal structure of MgIrAu from Alexandria via LeMat-Bulk. Energies are from PBEsol.

Summary:
E_form	-0.1	eV per formula unit
energy relative to the lowest polymorph listed for this composition	0.0	meV/atom

Lattice parameters (Å, degrees): 2.7934 3.9741 4.9160 113.84 106.51 90.00
Element x y z (fractional)
Au: 0.9998 0.9998 0.9996
Ir: 0.3298 0.3298 0.6597
Mg: 0.6704 0.6704 0.3407

Here is an optimized crystal structure of CrCuOs2 from Alexandria via LeMat-Bulk. Energies are from PBEsol.

Summary:
E_form	1.2	eV per formula unit
energy relative to the lowest polymorph listed for this composition	57.0	meV/atom

Lattice parameters (Å, degrees): 3.7639 3.7639 4.4763 114.86 114.86 90.00
Element x y z (fractional)
Os: 0.7500 0.2500 0.5000
Os: 0.2500 0.7500 0.5000
Cr: 0.5000 0.5000 0.0000
Cu: 0.0000 0.0000 0.0000

Here is an optimized crystal structure of YRhAu from Alexandria via LeMat-Bulk. Energies are from PBEsol.

Summary:
E_form	-0.3	eV per formula unit

Lattice parameters (Å, degrees): 4.5223 4.5223 4.5223 60.00 60.00 60.00
Element x y z (fractional)
Au: 0.0000 0.0000 0.0000
Y: 0.2500 0.2500 0.2500
Rh: 0.5000 0.5000 0.5000

no.,N(E_F) (states/eV/cell),uncorrected energy (eV/atom)
1,4.73,-12.316
2,2.58,-4.857
3,7.07,-6.404
4,1.33,-7.350
5,0.00,-5.590
6,7.58,-4.815
7,4.19,-9.849
8,1.38,-1.173
9,2.65,-10.017
10,1.30,-2.904
11,0.65,-4.446
12,3.41,-5.323
13,1.92,-2.203
14,0.00,-4.705
15,0.00,-3.815
16,1.84,-10.938
17,5.08,-1.520
18,1.93,-5.375
19,1.84,-1.848
20,1.64,-3.855
21,0.13,-3.767
22,2.26,-2.791
23,9.63,-7.327
24,2.06,-6.198
25,2.90,-5.201
26,3.50,-9.450
27,1.43,-6.381